No. 1
Material: ErTmTh2Sc4
Method: DFT, GGA-PBE
State: relaxed

Output
ΔH_f (0 K) ... 48 meV per atom

Unit cell a=5.9661 b=3.4485 c=11.0075 alpha=90.00 beta=100.45 gamma=90.00
Positions (direct):
Er 0.0000 0.0000 0.0000
Tm 0.5000 0.5000 0.0000
Th 0.0000 0.5000 0.5000
Th 0.5000 0.0000 0.5000
Sc 0.2491 0.0000 0.7467
Sc 0.2513 0.5000 0.2533
Sc 0.7487 0.5000 0.7467
Sc 0.7509 0.0000 0.2533

=====

No. 2
Material: PaSeI
Method: DFT, GGA-PBE
State: relaxed

Output
Raw formation energy ... -1123 meV/atom

Unit cell a=4.0375 b=5.6488 c=10.5691 alpha=90.00 beta=100.65 gamma=90.00
Positions (direct):
Pa 0.2037 0.2500 0.4042
Pa 0.7963 0.7500 0.5958
Se 0.1985 0.7500 0.3935
Se 0.8015 0.2500 0.6065
I 0.4066 0.7500 0.8238
I 0.5934 0.2500 0.1762

=====

No. 3
Material: In2SnGeTe4
Method: DFT, GGA-PBE
State: relaxed

Output
Raw formation energy ... -214 meV/atom

Unit cell a=7.6180 b=4.4077 c=7.6736 alpha=90.00 beta=108.89 gamma=90.00
Positions (direct):
In 0.0000 0.0000 0.0000
In 0.0000 0.5000 0.5000
Sn 0.5000 0.0000 0.5000
Ge 0.5000 0.5000 0.0000
Te 0.2540 0.5000 0.2415
Te 0.2604 0.0000 0.7639
Te 0.7396 0.0000 0.2361
Te 0.7460 0.5000 0.7585

=====

No. 4
Material: MgSb5
Method: DFT, GGA-PBE
State: relaxed

Output
Raw formation energy ... 122 meV/atom

Unit cell a=5.1642 b=15.8742 c=3.8597 alpha=90.00 beta=90.00 gamma=90.00
Positions (direct):
Mg 0.0000 0.0000 0.0000
Mg 0.5000 0.5000 0.0000
Sb 0.0000 0.1568 0.5000
Sb 0.0000 0.3374 0.0000
Sb 0.0000 0.5000 0.5000
Sb 0.0000 0.6626 0.0000
Sb 0.0000 0.8432 0.5000
Sb 0.5000 0.0000 0.5000
Sb 0.5000 0.1626 0.0000
Sb 0.5000 0.3432 0.5000
Sb 0.5000 0.6568 0.5000
Sb 0.5000 0.8374 0.0000

=====

No. 5
Material: CaAg2Pb2
Method: DFT, GGA-PBE
State: relaxed

Output
ΔH_f (0 K) ... -146 meV per atom

Unit cell a=5.1433 b=5.1266 c=10.2825 alpha=90.00 beta=90.93 gamma=90.00
Positions (direct):
Ca 0.2378 0.2500 0.3194
Ca 0.7622 0.7500 0.6806
Ag 0.2540 0.7500 0.1570
Ag 0.2583 0.7500 0.5017
Ag 0.7417 0.2500 0.4983
Ag 0.7460 0.2500 0.8430
Pb 0.2489 0.2500 0.9864
Pb 0.2499 0.2500 0.6650
Pb 0.7501 0.7500 0.3350
Pb 0.7511 0.7500 0.0136

=====

No. 6
Material: CaMo2Br
Method: DFT, GGA-PBE
State: relaxed

Output
Raw formation energy ... 789 meV/atom

Unit cell a=4.7495 b=4.7495 c=6.7683 alpha=90.00 beta=90.00 gamma=90.00
Positions (direct):
Ca 0.0000 0.0000 0.0000
Ca 0.5000 0.5000 0.5000
Mo 0.0000 0.0000 0.5000
Mo 0.0000 0.5000 0.7500
Mo 0.5000 0.0000 0.2500
Mo 0.5000 0.5000 0.0000
Br 0.0000 0.5000 0.2500
Br 0.5000 0.0000 0.7500

=====

no.,DOS(E_F) (states/eV per atom)
1,1.50
2,1.28
3,0.56
4,0.67
5,0.29
6,0.92